(1)
Compound: NaTl2Hg5
Source: Alexandria via LeMat-Bulk
Functional: PBE-GGA
Structure: relaxed

Cell: 4.897 4.897 18.133 Å, 90.00 90.00 90.00°
Space group I4/mmm (No. 139)
Asymmetric unit:
Na1 0.000 0.000 0.000
Tl1 0.000 0.000 0.247
Hg1 0.000 0.000 0.500
Hg2 0.000 0.500 0.120

Properties
**Total moment**: 0.00 Bohr magnetons per cell
**Formation energy from the elements**: -0.101 eV per atom
**Calculated density**: 10.96 g cm⁻³
**Electronic total energy**: -16.74 eV for the cell shown


(2)
Compound: Na4Tl5Hg3
Source: Alexandria via LeMat-Bulk
Functional: PBE-GGA
Structure: relaxed

Cell: 6.596 7.196 8.028 Å, 95.36 105.10 111.50°
Space group P-1 (No. 2)
Asymmetric unit:
Na1 0.001 0.195 0.175
Na2 0.256 0.345 0.827
Tl1 0.000 0.500 0.500
Tl2 0.248 0.998 0.497
Tl3 0.475 0.152 0.167
Hg1 0.247 0.660 0.157
Hg2 0.500 0.500 0.500

Properties
**Total moment**: 0.00 Bohr magnetons per cell
**Formation energy from the elements**: -0.120 eV per atom
**Calculated density**: 8.51 g cm⁻³
**Electronic total energy**: -19.45 eV for the cell shown


(3)
Compound: Na3Tl2Hg9
Source: Alexandria via LeMat-Bulk
Functional: PBE-GGA
Structure: relaxed

Cell: 16.728 9.172 5.352 Å, 90.00 98.94 90.00°
Space group C2/m (No. 12)
Asymmetric unit:
Na1 0.000 0.000 0.000
Na2 0.237 0.500 0.735
Tl1 0.000 0.310 0.500
Hg1 0.000 0.500 0.000
Hg2 0.156 0.323 0.194
Hg3 0.160 0.158 0.706

Properties
**Total moment**: 0.00 Bohr magnetons per cell
**Formation energy from the elements**: -0.121 eV per atom
**Calculated density**: 9.35 g cm⁻³
**Electronic total energy**: -26.21 eV for the cell shown


(4)
Compound: Na5Tl5Hg2
Source: Alexandria via LeMat-Bulk
Functional: PBE-GGA
Structure: relaxed

Cell: 14.734 4.595 11.126 Å, 90.00 118.32 90.00°
Space group C2/m (No. 12)
Asymmetric unit:
Na1 0.000 0.000 0.000
Na2 0.097 0.000 0.769
Na3 0.162 0.000 0.500
Tl1 0.000 0.500 0.500
Tl2 0.079 0.500 0.251
Tl3 0.242 0.000 0.242
Hg1 0.161 0.500 0.997

Properties
**Total moment**: 0.00 Bohr magnetons per cell
**Formation energy from the elements**: -0.127 eV per atom
**Energy above the lowest structure with this stoichiometry**: 0.25 kcal/mol of atoms
**Calculated density**: 7.70 g cm⁻³
**Electronic total energy**: -41.11 eV for the cell shown


(5)
Compound: Na2TlHg
Source: Alexandria via LeMat-Bulk
Functional: PBE-GGA
Structure: relaxed

Cell: 8.629 8.629 6.396 Å, 90.00 90.00 90.00°
Space group I-42d (No. 122)
Asymmetric unit:
Na1 0.235 0.250 0.125
Tl1 0.000 0.000 0.500
Hg1 0.000 0.000 0.000

Properties
**Total moment**: 0.00 Bohr magnetons per cell
**Formation energy from the elements**: -0.063 eV per atom
**Calculated density**: 6.29 g cm⁻³
**Electronic total energy**: -22.23 eV for the cell shown


(6)
Compound: Na6TlHg4
Source: Alexandria via LeMat-Bulk
Functional: PBE-GGA
Structure: relaxed

Cell: 11.435 10.176 8.167 Å, 90.00 133.27 90.00°
Space group Cm (No. 8)
Asymmetric unit:
Na1 0.000 0.000 0.000
Na2 0.171 0.321 0.230
Na3 0.226 0.205 0.852
Na4 0.314 0.000 0.593
Tl1 0.468 0.000 0.357
Hg1 0.180 0.500 0.900
Hg2 0.458 0.500 0.599
Hg3 0.492 0.321 0.330

Properties
**Total moment**: 0.00 Bohr magnetons per cell
**Formation energy from the elements**: -0.121 eV per atom
**Calculated density**: 5.49 g cm⁻³
**Electronic total energy**: -25.64 eV for the cell shown


(7)
Compound: NaTl6Hg12
Source: Alexandria via LeMat-Bulk
Functional: PBE-GGA
Structure: relaxed

Cell: 14.2928 14.2928 9.5805 Å, 90.00 90.00 120.00°
Space group R-3 (No. 148, hexagonal axes)
Asymmetric unit:
Na1 0.0000 0.0000 0.0000
Tl1 0.0256 0.8072 0.7545
Hg1 0.0250 0.8171 0.4178
Hg2 0.0354 0.8040 0.0921

Properties
**Total moment**: 0.00 Bohr magnetons per cell
**Formation energy from the elements**: -0.028 eV per atom
**Energy above the lowest structure with this stoichiometry**: 0.00 kcal/mol of atoms
**Calculated density**: 10.75 g cm⁻³
**Electronic total energy**: -59.01 eV for the cell shown


(8)
Compound: Na5TlHg
Source: Alexandria via LeMat-Bulk
Functional: PBE-GGA
Structure: relaxed

Cell: 17.221 8.312 6.477 Å, 90.00 109.52 90.00°
Space group C2/c (No. 15)
Asymmetric unit:
Na1 0.000 0.159 0.250
Na2 0.123 0.500 0.122
Na3 0.178 0.102 0.976
Tl1 0.000 0.252 0.750
Hg1 0.250 0.250 0.500

Properties
**Total moment**: 0.00 Bohr magnetons per cell
**Formation energy from the elements**: -0.103 eV per atom
**Energy above the lowest structure with this stoichiometry**: 0.00 kcal/mol of atoms
**Calculated density**: 3.95 g cm⁻³
**Electronic total energy**: -39.92 eV for the cell shown


(9)
Compound: Na12TlHg7
Source: Alexandria via LeMat-Bulk
Functional: PBE-GGA
Structure: relaxed

Cell: 14.4843 14.4843 9.4736 Å, 90.00 90.00 120.00°
Space group R-3 (No. 148, hexagonal axes)
Asymmetric unit:
Na1 0.0401 0.7978 0.4247
Na2 0.0514 0.2522 0.9437
Tl1 0.0000 0.0000 0.0000
Hg1 0.0000 0.0000 0.5000
Hg2 0.0056 0.8501 0.7460

Properties
**Total moment**: 0.00 Bohr magnetons per cell
**Formation energy from the elements**: -0.167 eV per atom
**Energy above the lowest structure with this stoichiometry**: 0.00 kcal/mol of atoms
**Calculated density**: 5.45 g cm⁻³
**Electronic total energy**: -70.96 eV for the cell shown


(10)
Compound: Na5TlHg4
Source: Alexandria via LeMat-Bulk
Functional: PBE-GGA
Structure: relaxed

Cell: 3.706 3.706 19.237 Å, 90.00 90.00 90.00°
Space group P4/mmm (No. 123)
Asymmetric unit:
Na1 0.000 0.000 0.000
Na2 0.000 0.000 0.195
Na3 0.000 0.000 0.392
Tl1 0.500 0.500 0.500
Hg1 0.500 0.500 0.098
Hg2 0.500 0.500 0.293

Properties
**Total moment**: 0.00 Bohr magnetons per cell
**Formation energy from the elements**: -0.213 eV per atom
**Calculated density**: 7.05 g cm⁻³
**Electronic total energy**: -12.30 eV for the cell shown


(11)
Compound: NaTl2Hg2
Source: Alexandria via LeMat-Bulk
Functional: PBE-GGA
Structure: relaxed

Cell: 8.399 8.399 4.168 Å, 90.00 90.00 90.00°
Space group P4/mbm (No. 127)
Asymmetric unit:
Na1 0.000 0.000 0.000
Tl1 0.162 0.338 0.500
Hg1 0.140 0.640 0.000

Properties
**Total moment**: 0.00 Bohr magnetons per cell
**Formation energy from the elements**: -0.088 eV per atom
**Energy above the lowest structure with this stoichiometry**: 0.38 kcal/mol of atoms
**Calculated density**: 9.41 g cm⁻³
**Electronic total energy**: -14.19 eV for the cell shown


(12)
Compound: NaTl5Hg
Source: Alexandria via LeMat-Bulk
Functional: PBE-GGA
Structure: relaxed

Cell: 14.746 9.015 6.412 Å, 90.00 97.60 90.00°
Space group C2/c (No. 15)
Asymmetric unit:
Na1 0.250 0.250 0.000
Tl1 0.000 0.136 0.750
Tl2 0.108 0.465 0.664
Tl3 0.184 0.100 0.497
Hg1 0.000 0.228 0.250

Properties
**Total moment**: 0.00 Bohr magnetons per cell
**Formation energy from the elements**: -0.024 eV per atom
**Calculated density**: 9.79 g cm⁻³
**Electronic total energy**: -54.48 eV for the cell shown


Look up the electronic total energy of the second one. -19.45 eV for the cell shown